Material: Tb2NdDyBi4
Method: DFT, PBE
State: optimized geometry

POSCAR file:
```
Tb2NdDyBi4
1.0
4.521 0.000 0.000
0.000 7.825 -0.154
0.000 2.754 7.325
Tb Nd Dy Bi
2 1 1 4
Direct
0.000 0.000 0.000
0.500 0.000 0.500
0.500 0.500 0.000
0.000 0.500 0.500
0.000 0.755 0.744
0.000 0.245 0.256
0.500 0.752 0.253
0.500 0.248 0.747
```

* calculated formation energy: -686 kJ/mol of formula units